Entry 1:
Below is crystalline LiIn8Au6 at its relaxed geometry, with properties calculated at the PBE level. Values from VASP.

Summary:
The uncorrected energy is -46.8 eV/cell. The calculation puts the energy of formation from the pure elements at -0.2211 eV/atom. Its symmetry is No. 148.

Geometry as Quantum ESPRESSO input:
```
&SYSTEM
  ibrav = 0, nat = 15, ntyp = 3
/
ATOMIC_SPECIES
Li 6.94 Li.upf
In 114.82 In.upf
Au 196.97 Au.upf
ATOMIC_POSITIONS crystal
Li 0.000 0.000 0.000
In 0.111 0.426 0.789
In 0.211 0.889 0.574
In 0.333 0.333 0.333
In 0.426 0.789 0.111
In 0.574 0.211 0.889
In 0.667 0.667 0.667
In 0.789 0.111 0.426
In 0.889 0.574 0.211
Au 0.065 0.727 0.408
Au 0.273 0.592 0.935
Au 0.408 0.065 0.727
Au 0.592 0.935 0.273
Au 0.727 0.408 0.065
Au 0.935 0.273 0.592
CELL_PARAMETERS angstrom
4.080 2.355 6.067
-4.080 2.355 6.067
0.000 -4.711 6.067
```


Entry 2:
Below is crystalline Li2InAu at its relaxed geometry, with properties calculated at the PBE level. Values from VASP.

Summary:
The uncorrected energy is -32.5 eV/cell. The calculation puts the energy of formation from the pure elements at -0.2479 eV/atom. Its symmetry is No. 166.

Geometry as Quantum ESPRESSO input:
```
&SYSTEM
  ibrav = 0, nat = 12, ntyp = 3
/
ATOMIC_SPECIES
Li 6.94 Li.upf
In 114.82 In.upf
Au 196.97 Au.upf
ATOMIC_POSITIONS crystal
Li 0.000 0.000 0.242
Li 0.000 0.000 0.758
Li 0.333 0.667 0.425
Li 0.333 0.667 0.908
Li 0.667 0.333 0.092
Li 0.667 0.333 0.575
In 0.000 0.000 0.000
In 0.333 0.667 0.667
In 0.667 0.333 0.333
Au 0.000 0.000 0.500
Au 0.333 0.667 0.167
Au 0.667 0.333 0.833
CELL_PARAMETERS angstrom
3.249 0.000 0.000
-1.624 2.814 0.000
0.000 0.000 25.154
```


Entry 3:
Below is crystalline LiInAu3 at its relaxed geometry, with properties calculated at the PBE level. Values from VASP.

Summary:
The uncorrected energy is -16.2 eV/cell. The calculation puts the energy of formation from the pure elements at -0.3438 eV/atom. Its symmetry is No. 1.

Geometry as Quantum ESPRESSO input:
```
&SYSTEM
  ibrav = 0, nat = 5, ntyp = 3
/
ATOMIC_SPECIES
Li 6.94 Li.upf
In 114.82 In.upf
Au 196.97 Au.upf
ATOMIC_POSITIONS crystal
Li 0.000 0.000 0.000
In 0.170 0.233 0.424
Au 0.376 0.403 0.841
Au 0.580 0.643 0.196
Au 0.784 0.829 0.607
CELL_PARAMETERS angstrom
4.044 0.000 0.000
2.017 4.601 0.000
2.002 0.090 4.832
```


Entry 4:
Below is crystalline LiInAu2 at its relaxed geometry, with properties calculated at the PBE level. Values from VASP.

Summary:
The uncorrected energy is -35.7 eV/cell. The calculation puts the energy of formation from the pure elements at -0.1704 eV/atom. Its symmetry is No. 166.

Geometry as Quantum ESPRESSO input:
```
&SYSTEM
  ibrav = 0, nat = 12, ntyp = 3
/
ATOMIC_SPECIES
Li 6.94 Li.upf
In 114.82 In.upf
Au 196.97 Au.upf
ATOMIC_POSITIONS crystal
Li 0.000 0.000 0.000
Li 0.333 0.667 0.667
Li 0.667 0.333 0.333
In 0.000 0.000 0.500
In 0.333 0.667 0.167
In 0.667 0.333 0.833
Au 0.000 0.000 0.257
Au 0.000 0.000 0.743
Au 0.333 0.667 0.410
Au 0.333 0.667 0.923
Au 0.667 0.333 0.077
Au 0.667 0.333 0.590
CELL_PARAMETERS angstrom
3.085 0.000 0.000
-1.543 2.672 0.000
0.000 0.000 27.070
```


Entry 5:
Below is crystalline Li5InAu8 at its relaxed geometry, with properties calculated at the PBE level. Values from VASP.

Summary:
The uncorrected energy is -43.5 eV/cell. The calculation puts the energy of formation from the pure elements at -0.3560 eV/atom. Its symmetry is No. 82.

Geometry as Quantum ESPRESSO input:
```
&SYSTEM
  ibrav = 0, nat = 14, ntyp = 3
/
ATOMIC_SPECIES
Li 6.94 Li.upf
In 114.82 In.upf
Au 196.97 Au.upf
ATOMIC_POSITIONS crystal
Li 0.000 0.000 0.000
Li 0.192 0.536 0.907
Li 0.464 0.371 0.656
Li 0.629 0.285 0.093
Li 0.715 0.808 0.344
In 0.250 0.750 0.500
Au 0.154 0.096 0.740
Au 0.356 0.414 0.260
Au 0.417 0.009 0.259
Au 0.586 0.846 0.943
Au 0.750 0.158 0.741
Au 0.842 0.583 0.593
Au 0.904 0.644 0.057
Au 0.991 0.250 0.407
CELL_PARAMETERS angstrom
-3.953 3.953 3.941
3.953 -3.953 3.941
3.953 3.953 -3.941
```


Entry 6:
Below is crystalline LiIn3Au12 at its relaxed geometry, with properties calculated at the PBE level. Values from VASP.

Summary:
The uncorrected energy is -52.0 eV/cell. The calculation puts the energy of formation from the pure elements at -0.1573 eV/atom. Its symmetry is No. 123.

Geometry as Quantum ESPRESSO input:
```
&SYSTEM
  ibrav = 0, nat = 16, ntyp = 3
/
ATOMIC_SPECIES
Li 6.94 Li.upf
In 114.82 In.upf
Au 196.97 Au.upf
ATOMIC_POSITIONS crystal
Li 0.000 0.000 0.000
In 0.000 0.000 0.244
In 0.000 0.000 0.500
In 0.000 0.000 0.756
Au 0.000 0.500 0.117
Au 0.000 0.500 0.372
Au 0.000 0.500 0.628
Au 0.000 0.500 0.883
Au 0.500 0.000 0.117
Au 0.500 0.000 0.372
Au 0.500 0.000 0.628
Au 0.500 0.000 0.883
Au 0.500 0.500 0.000
Au 0.500 0.500 0.244
Au 0.500 0.500 0.500
Au 0.500 0.500 0.756
CELL_PARAMETERS angstrom
4.200 0.000 0.000
0.000 4.200 0.000
0.000 0.000 16.762
```


Total magnetization values, unit μB per formula unit, following the record order: 0.00, 0.00, 0.00, 0.00, 0.00, 0.00.